Record 1
This record from the Open Quantum Materials Database describes a relaxed structure of KBaPrTe3. The functional is PBE.

Its crystal system is orthorhombic. For the magnetization, the calculation gives 0.01 μB per cell. For the total energy, the calculation gives -4.12 eV per atom. The calculated density comes out at 4.9 Mg/m³.

a b c (Å): 4.964 15.694 12.096
angles (deg): 90.00 90.00 90.00
Space group Cmcm (No. 63)
Asymmetric unit:
1 K 0.000 0.025 0.250
2 Ba 0.000 0.249 0.750
3 Pr 0.000 0.500 0.000
4 Te 0.000 0.140 0.034
5 Te 0.000 0.404 0.250



Record 2
This record from the Open Quantum Materials Database describes a relaxed structure of KBa3Pt. The functional is PBE.

Its crystal system is cubic. For the magnetization, the calculation gives 0.00 μB per cell. For the total energy, the calculation gives -2.95 eV per atom. The calculated density comes out at 4.1 Mg/m³.

a b c (Å): 6.417 6.417 6.417
angles (deg): 90.00 90.00 90.00
Space group Pm-3m (No. 221)
Asymmetric unit:
1 K 0.000 0.000 0.000
2 Ba 0.000 0.500 0.500
3 Pt 0.500 0.500 0.500



Record 3
This record from the Open Quantum Materials Database describes a relaxed structure of KBaSn4Pt2. The functional is PBE.

Its crystal system is orthorhombic. For the magnetization, the calculation gives 0.01 μB per cell. For the total energy, the calculation gives -4.50 eV per atom. The calculated density comes out at 7.8 Mg/m³.

a b c (Å): 7.869 4.437 12.781
angles (deg): 90.00 90.00 90.00
Space group Amm2 (No. 38)
Asymmetric unit:
1 K 0.000 0.000 0.000
2 Ba 0.500 0.000 0.102
3 Sn 0.197 0.000 0.716
4 Sn 0.301 0.000 0.389
5 Pt 0.000 0.000 0.272
6 Pt 0.500 0.000 0.828



Record 4
This record from the Open Quantum Materials Database describes a relaxed structure of KBaTl4Pt2. The functional is PBE.

Its crystal system is orthorhombic. For the magnetization, the calculation gives 0.02 μB per cell. For the total energy, the calculation gives -3.40 eV per atom. The calculated density comes out at 10.1 Mg/m³.

a b c (Å): 8.524 4.519 11.832
angles (deg): 90.00 90.00 90.00
Space group Amm2 (No. 38)
Asymmetric unit:
1 K 0.000 0.000 0.000
2 Ba 0.500 0.000 0.113
3 Tl 0.192 0.000 0.711
4 Tl 0.297 0.000 0.404
5 Pt 0.000 0.000 0.279
6 Pt 0.500 0.000 0.828



Record 5
This record from the Open Quantum Materials Database describes a relaxed structure of KBaTbSe3. The functional is PBE.

The energy above the lowest structure with this stoichiometry comes out at 0.73 eV/f.u. Its crystal system is orthorhombic. For the magnetization, the calculation gives 0.08 μB per cell. For the total energy, the calculation gives -4.59 eV per atom. The calculated density comes out at 3.4 Mg/m³.

a b c (Å): 4.368 20.499 12.371
angles (deg): 90.00 90.00 90.00
Space group Cmcm (No. 63)
Asymmetric unit:
1 K 0.000 0.113 0.250
2 Ba 0.000 0.112 0.750
3 Tb 0.000 0.500 0.000
4 Se 0.000 0.095 0.001
5 Se 0.000 0.495 0.250



Record 6
This record from the Open Quantum Materials Database describes a relaxed structure of KBaTbSe3. The functional is PBE.

The energy above the lowest structure with this stoichiometry comes out at 0.00 eV/f.u. Its crystal system is monoclinic. For the magnetization, the calculation gives 0.00 μB per cell. For the total energy, the calculation gives -4.71 eV per atom. The calculated density comes out at 4.9 Mg/m³.

a b c (Å): 7.617 4.320 12.067
angles (deg): 90.00 102.30 90.00
Space group P2_1/m (No. 11)
Asymmetric unit:
1 K 0.129 0.250 0.135
2 Ba 0.365 0.250 0.822
3 Tb 0.234 0.750 0.457
4 Se 0.029 0.750 0.631
5 Se 0.273 0.750 0.989
6 Se 0.444 0.250 0.367